Computed, not measured: a geometry-optimized PuPN structure at the PBE level of DFT.

POSCAR file:
```
PuPN
1.0
3.7960 0.0000 0.0000
-1.8980 3.3332 -0.2115
0.0000 -1.3273 7.8831
Pu P N
2 2 2
direct
0.7149 0.4297 0.6775
0.2851 0.5703 0.3225
0.8711 0.7422 0.0582
0.1289 0.2578 0.9418
0.3641 0.7282 0.6107
0.6359 0.2718 0.3893
```

Output
The value obtained for the uncorrected formation energy is -0.916 eV per atom. The value obtained for the raw total energy is -10.2720 eV per atom. The total magnetic moment is 1.41 μB/atom. Its space group is C2/m (12). As for the density of states at the Fermi level: 8.87 states/eV per cell. As for the energy above the most stable polymorph in this dataset: 5.4 kJ/mol of atoms.



Computed, not measured: a geometry-optimized HgRhN3 structure at the PBE level of DFT.

POSCAR file:
```
HgRhN3
1.0
4.0971 0.0000 0.0000
0.0000 4.0971 0.0000
0.0000 0.0000 4.0971
Rh Hg N
1 1 3
direct
0.5000 0.5000 0.5000
0.0000 0.0000 0.0000
0.0000 0.5000 0.0000
0.0000 0.0000 0.5000
0.5000 0.0000 0.0000
```

Output
The value obtained for the uncorrected formation energy is 3.026 eV per atom. The value obtained for the raw total energy is -3.5002 eV per atom. The total magnetic moment is 0.00 μB/atom. Its space group is Pm-3m (221). As for the density of states at the Fermi level: 6.61 states/eV per cell.



Computed, not measured: a geometry-optimized La3Tb5Nd structure at the PBE level of DFT.

POSCAR file:
```
La3Tb5Nd
1.0
7.4753 0.4255 -0.6049
2.4557 7.0732 -0.6049
2.6701 2.0162 12.2991
La Tb Nd
6 10 2
direct
0.6211 0.6211 0.7861
0.7308 0.7308 0.5324
0.0000 0.0000 0.0000
0.0000 0.0000 0.5000
0.3789 0.3789 0.2139
0.2692 0.2692 0.4676
0.9361 0.3286 0.2209
0.3197 0.6803 0.0000
0.7419 0.7419 0.0229
0.5520 0.5520 0.3741
0.4480 0.4480 0.6259
0.2581 0.2581 0.9771
0.3286 0.9361 0.2209
0.6803 0.3197 0.0000
0.0639 0.6714 0.7791
0.6714 0.0639 0.7791
0.1390 0.1390 0.7365
0.8610 0.8610 0.2635
```

Output
The value obtained for the raw total energy is -4.3365 eV per atom. The total magnetic moment is 0.00 μB/atom. Its space group is C2/m (12). As for the density of states at the Fermi level: 29.49 states/eV per cell. As for the formation energy: 408 meV per atom.



Computed, not measured: a geometry-optimized NaMgTc2 structure at the PBE level of DFT.

POSCAR file:
```
NaMgTc2
1.0
7.7050 0.0000 0.0000
0.0000 7.7050 0.0000
3.8525 3.8525 2.4557
Na Mg Tc
2 2 4
direct
0.5000 0.5000 0.0000
0.2500 0.7500 0.5000
0.0000 0.0000 0.0000
0.7500 0.2500 0.5000
0.6548 0.1250 0.2500
0.0952 0.6250 0.2500
0.3750 0.3452 0.7500
0.8750 0.9048 0.7500
```

Output
The value obtained for the raw total energy is -4.7190 eV per atom. The total magnetic moment is 0.07 μB/atom. Its space group is I-42d (122). As for the density of states at the Fermi level: 9.76 states/eV per cell. As for the formation energy: 1192 meV per atom.



Computed, not measured: a geometry-optimized SrMg2Ag structure at the PBE level of DFT.

POSCAR file:
```
SrMg2Ag
1.0
-0.5898 -1.9082 6.2412
-3.5390 -4.3402 3.4030
1.0957 -5.4245 3.5095
Ag Mg Sr
1 2 1
direct
0.7500 0.7500 0.7500
0.0461 0.0461 0.0461
0.4539 0.4539 0.4539
0.2500 0.2500 0.2500
```

Output
The value obtained for the raw total energy is -2.0277 eV per atom. The total magnetic moment is 0.00 μB/atom. Its space group is R-3m (166). As for the density of states at the Fermi level: 2.71 states/eV per cell. As for the formation energy: -97 meV per atom.



Computed, not measured: a geometry-optimized KBi2Mo structure at the PBE level of DFT.

POSCAR file:
```
KBi2Mo
1.0
0.0000 3.7536 3.7536
3.7536 0.0000 3.7536
3.7536 3.7536 0.0000
K Mo Bi
1 1 2
direct
0.0000 0.0000 0.0000
0.5000 0.5000 0.5000
0.2500 0.2500 0.2500
0.7500 0.7500 0.7500
```

Output
The value obtained for the raw total energy is -4.3741 eV per atom. The total magnetic moment is 0.61 μB/atom. Its space group is Fm-3m (225). As for the density of states at the Fermi level: 2.30 states/eV per cell. As for the formation energy: 549 meV per atom. As for the energy above the most stable polymorph in this dataset: 5.2 kJ/mol of atoms.



Computed, not measured: a geometry-optimized NdNpTe2S structure at the PBE level of DFT.

POSCAR file:
```
NdNpTe2S
1.0
4.4856 0.0000 0.0000
0.0000 4.4856 0.0000
0.0000 0.0000 15.6057
Nd Np Te S
2 2 4 2
direct
0.5000 0.0000 0.6041
0.0000 0.5000 0.3959
0.5000 0.0000 0.1056
0.0000 0.5000 0.8944
0.0000 0.5000 0.7040
0.0000 0.5000 0.0977
0.5000 0.0000 0.9023
0.5000 0.0000 0.2960
0.0000 0.0000 0.5000
0.5000 0.5000 0.5000
```

Output
The value obtained for the uncorrected formation energy is -1.125 eV per atom. The value obtained for the raw total energy is -6.7485 eV per atom. The total magnetic moment is 0.81 μB/atom. Its space group is P4/nmm (129). As for the density of states at the Fermi level: 20.80 states/eV per cell.



Computed, not measured: a geometry-optimized YAl3H structure at the PBE level of DFT.

POSCAR file:
```
YAl3H
1.0
5.8080 0.0000 0.0000
0.0000 5.8080 0.0000
0.0000 0.0000 5.8080
Y H Al
1 1 3
direct
0.0000 0.0000 0.0000
0.5000 0.5000 0.5000
0.0000 0.5000 0.0000
0.0000 0.0000 0.5000
0.5000 0.0000 0.0000
```

Output
The value obtained for the raw total energy is -2.6655 eV per atom. The total magnetic moment is 0.59 μB/atom. Its space group is Pm-3m (221). As for the density of states at the Fermi level: 7.11 states/eV per cell. As for the energy above the most stable polymorph in this dataset: 166.9 kJ/mol of atoms.